An optimized crystal structure of CuTcBOs. Source: the Open Quantum Materials Database, functional PBE. Values from VASP.

Quantum ESPRESSO input file:
```
&SYSTEM
  ibrav = 0, nat = 4, ntyp = 4
/
ATOMIC_SPECIES
B 10.81 B.upf
Cu 63.55 Cu.upf
Tc 98.00 Tc.upf
Os 190.23 Os.upf
ATOMIC_POSITIONS angstrom
B 0.0000 0.0000 0.0000
Cu 4.3575 4.3575 4.3575
Tc 2.9050 2.9050 2.9050
Os 1.4525 1.4525 1.4525
CELL_PARAMETERS angstrom
0.0000 2.9050 2.9050
2.9050 0.0000 2.9050
2.9050 2.9050 0.0000
```

Properties
Crystal system: cubic
Energy above the most stable polymorph in this dataset in meV per atom: 0
Total moment in Bohr magnetons per cell: 0.003

=====

An optimized crystal structure of NaNdNi. Source: the Open Quantum Materials Database, functional PBE. Values from VASP.

Quantum ESPRESSO input file:
```
&SYSTEM
  ibrav = 0, nat = 3, ntyp = 3
/
ATOMIC_SPECIES
Na 22.99 Na.upf
Ni 58.69 Ni.upf
Nd 144.24 Nd.upf
ATOMIC_POSITIONS angstrom
Na -1.1524 -0.2042 2.6797
Ni 0.0000 0.0000 0.0000
Nd -3.4573 -0.6127 8.0390
CELL_PARAMETERS angstrom
0.8710 -1.2075 4.5370
-2.0565 2.4350 3.5557
-3.4242 -2.0445 2.6260
```

Properties
Crystal system: cubic
Energy above the most stable polymorph in this dataset in meV per atom: 0
Total moment in Bohr magnetons per cell: 0.000

=====

An optimized crystal structure of Ho5Er3Te. Source: the Open Quantum Materials Database, functional PBE. Values from VASP.

Quantum ESPRESSO input file:
```
&SYSTEM
  ibrav = 0, nat = 9, ntyp = 3
/
ATOMIC_SPECIES
Er 167.26 Er.upf
Ho 164.93 Ho.upf
Te 127.60 Te.upf
ATOMIC_POSITIONS angstrom
Er 0.0909 -2.4544 5.0748
Ho -1.9021 -1.4189 -2.0469
Ho -1.8096 -4.3764 2.9973
Ho -1.8918 -4.7625 -2.2695
Er -0.0611 -3.1684 -4.6630
Te 0.0000 0.0000 0.0000
Ho -1.8398 -6.6269 0.5146
Er 0.0186 -3.5006 0.2564
Ho -1.8344 -1.1009 2.2900
CELL_PARAMETERS angstrom
-0.0991 -5.1409 -7.5661
0.1475 -3.9825 8.2342
-3.7498 -0.0155 0.0597
```

Properties
Crystal system: hexagonal
Total moment in Bohr magnetons per cell: 0.048

=====

An optimized crystal structure of CdCuSbPt. Source: the Open Quantum Materials Database, functional PBE. Values from VASP.

Quantum ESPRESSO input file:
```
&SYSTEM
  ibrav = 0, nat = 4, ntyp = 4
/
ATOMIC_SPECIES
Cu 63.55 Cu.upf
Pt 195.08 Pt.upf
Cd 112.41 Cd.upf
Sb 121.76 Sb.upf
ATOMIC_POSITIONS angstrom
Cu -2.7616 -3.9745 7.1217
Pt -0.9205 -1.3248 2.3739
Cd -1.8411 -2.6497 4.7478
Sb 0.0000 0.0000 0.0000
CELL_PARAMETERS angstrom
-1.3349 -4.1096 1.8158
1.0441 -1.0466 4.4477
-3.3914 -0.1431 3.2320
```

Properties
Crystal system: cubic
Energy above the most stable polymorph in this dataset in meV per atom: 0
Total moment in Bohr magnetons per cell: 0.000

=====

| no. | total energy (eV/atom) |
| --- | --- |
| 1 | -7.330 |
| 2 | -3.709 |
| 3 | -4.692 |
| 4 | -3.713 |